Entry 1:
Computed, not measured: a relaxed structure of CsBaMg2Pd at the PBE level of DFT.

**Energy**: -2.364 eV per atom
**Energy of formation from the pure elements**: -0.133 eV/atom

abc: 5.4915 5.4915 5.9927
angles: 90.00 90.00 90.00
Fractional coordinates of all 5 atoms:
Mg (0.5000, 0.0000, 0.0000)
Mg (0.0000, 0.5000, 0.0000)
Cs (0.5000, 0.5000, 0.5000)
Ba (0.0000, 0.0000, 0.5000)
Pd (0.0000, 0.0000, 0.0000)

***

Entry 2:
Computed, not measured: a relaxed structure of Th2TlInRu at the PBE level of DFT.

**Energy**: -6.132 eV per atom
**Energy of formation from the pure elements**: -0.288 eV/atom

abc: 4.0865 8.5000 8.5312
angles: 112.60 90.00 90.00
Fractional coordinates of all 10 atoms:
Th (0.2500, 0.1074, 0.3341)
Th (0.7500, 0.8926, 0.6659)
Th (0.7500, 0.7272, 0.0096)
Th (0.2500, 0.2728, 0.9904)
In (0.2500, 0.7127, 0.3123)
In (0.7500, 0.2873, 0.6877)
Tl (0.7500, 0.4612, 0.3471)
Tl (0.2500, 0.5388, 0.6529)
Ru (0.7500, 0.1216, 0.1118)
Ru (0.2500, 0.8784, 0.8882)

***

Entry 3:
Computed, not measured: a relaxed structure of Sm6DyTm3 at the PBE level of DFT.

**Energy**: -4.485 eV per atom
**Energy of formation from the pure elements**: 0.148 eV/atom

abc: 6.2293 11.0517 11.0517
angles: 120.34 90.00 90.00
Fractional coordinates of all 20 atoms:
Sm (0.3575, 0.5243, 0.9452)
Sm (0.8575, 0.9452, 0.5243)
Sm (0.1470, 0.7211, 0.2789)
Sm (0.6470, 0.2789, 0.7211)
Sm (0.4110, 0.9591, 0.0409)
Sm (0.3575, 0.0548, 0.4757)
Sm (0.8575, 0.4757, 0.0548)
Sm (0.0417, 0.3763, 0.2894)
Sm (0.5417, 0.2894, 0.3763)
Sm (0.5417, 0.6237, 0.7106)
Sm (0.0417, 0.7106, 0.6237)
Sm (0.9110, 0.0409, 0.9591)
Dy (0.1229, 0.2000, 0.8000)
Dy (0.6229, 0.8000, 0.2000)
Tm (0.9651, 0.0558, 0.2792)
Tm (0.5758, 0.6132, 0.3868)
Tm (0.4651, 0.2792, 0.0558)
Tm (0.0758, 0.3868, 0.6132)
Tm (0.9651, 0.7208, 0.9442)
Tm (0.4651, 0.9442, 0.7208)

***

Entry 4:
Computed, not measured: a relaxed structure of AlCd2Cu2Au5 at the PBE level of DFT.

**Energy**: -3.142 eV per atom
**Energy of formation from the pure elements**: -0.126 eV/atom

abc: 3.6740 9.8769 9.8769
angles: 90.00 90.00 90.00
Fractional coordinates of all 20 atoms:
Al (0.0000, 0.0000, 0.0000)
Al (0.0000, 0.5000, 0.5000)
Cd (0.0000, 0.8398, 0.6602)
Cd (0.0000, 0.6602, 0.1602)
Cd (0.0000, 0.1602, 0.3398)
Cd (0.0000, 0.3398, 0.8398)
Au (0.5000, 0.8939, 0.1761)
Au (0.5000, 0.6761, 0.3939)
Au (0.5000, 0.3939, 0.3239)
Au (0.5000, 0.5000, 0.0000)
Au (0.5000, 0.8239, 0.8939)
Au (0.5000, 0.6061, 0.6761)
Au (0.5000, 0.1761, 0.1061)
Au (0.5000, 0.0000, 0.5000)
Au (0.5000, 0.1061, 0.8239)
Au (0.5000, 0.3239, 0.6061)
Cu (0.0000, 0.3685, 0.1315)
Cu (0.0000, 0.1315, 0.6315)
Cu (0.0000, 0.6315, 0.8685)
Cu (0.0000, 0.8685, 0.3685)

***

Entry 5:
Computed, not measured: a relaxed structure of TlAg2Pd5 at the PBE level of DFT.

**Energy**: -4.225 eV per atom
**Energy of formation from the pure elements**: 0.029 eV/atom

abc: 7.0817 7.0817 7.5008
angles: 118.17 118.17 90.00
Fractional coordinates of all 16 atoms:
Pd (0.3129, 0.8129, 0.3310)
Pd (0.0000, 0.0000, 0.0000)
Pd (0.0181, 0.5181, 0.3310)
Pd (0.5181, 0.3129, 0.3310)
Pd (0.4819, 0.6871, 0.6690)
Pd (0.6871, 0.1871, 0.6690)
Pd (0.9819, 0.4819, 0.6690)
Pd (0.5000, 0.5000, 0.0000)
Pd (0.8129, 0.0181, 0.3310)
Pd (0.1871, 0.9819, 0.6690)
Tl (0.2500, 0.2500, 0.5000)
Tl (0.7500, 0.7500, 0.5000)
Ag (0.6456, 0.1456, 0.0000)
Ag (0.3544, 0.8544, 0.0000)
Ag (0.1456, 0.3544, 0.0000)
Ag (0.8544, 0.6456, 0.0000)

***

Entry 6:
Computed, not measured: a relaxed structure of KRh at the PBE level of DFT.

**Energy**: -3.268 eV per atom
**Energy of formation from the pure elements**: 0.956 eV/atom

abc: 9.4706 9.4706 9.4706
angles: 90.00 90.00 90.00
Fractional coordinates of all 16 atoms:
K (0.7111, 0.7111, 0.7111)
K (0.7889, 0.7889, 0.2111)
K (0.2111, 0.7889, 0.7889)
K (0.7889, 0.2111, 0.7889)
K (0.7111, 0.2889, 0.2889)
K (0.2111, 0.2111, 0.2111)
K (0.2889, 0.2889, 0.7111)
K (0.2889, 0.7111, 0.2889)
Rh (0.0956, 0.9044, 0.0956)
Rh (0.9044, 0.9044, 0.9044)
Rh (0.4044, 0.4044, 0.4044)
Rh (0.5956, 0.5956, 0.4044)
Rh (0.9044, 0.0956, 0.0956)
Rh (0.0956, 0.0956, 0.9044)
Rh (0.4044, 0.5956, 0.5956)
Rh (0.5956, 0.4044, 0.5956)